# Re2Sb2Pd | Alexandria | PBE-GGA | optimized geometry
data_Re2Sb2Pd
_chemical_formula_sum 'Re4 Sb4 Pd2'
_symmetry_space_group_name_H-M 'P 4/m b m'
_symmetry_Int_Tables_number 127
_symmetry_space_group_name_Hall '-P 4 2ab'
_cell_length_a 7.6948
_cell_length_b 7.6948
_cell_length_c 3.0850
_cell_angle_alpha 90.00
_cell_angle_beta 90.00
_cell_angle_gamma 90.00
loop_
_atom_site_label
_atom_site_type_symbol
_atom_site_fract_x
_atom_site_fract_y
_atom_site_fract_z
_atom_site_occupancy
Re1 Re 0.1426 0.3574 0.0000 1
Sb1 Sb 0.1549 0.6549 0.5000 1
Pd1 Pd 0.0000 0.0000 0.5000 1
# Distance to the lowest polymorph of the same formula = 0.51 eV per formula unit
# Raw formation energy = 607 meV/atom


# Re2SbPdSe | Alexandria | PBE-GGA | optimized geometry
data_Re2SbPdSe
_chemical_formula_sum 'Re2 Sb1 Pd1 Se1'
_symmetry_space_group_name_H-M 'P 4/m m m'
_symmetry_Int_Tables_number 123
_symmetry_space_group_name_Hall '-P 4 2'
_cell_length_a 4.9974
_cell_length_b 4.9974
_cell_length_c 5.2788
_cell_angle_alpha 90.00
_cell_angle_beta 90.00
_cell_angle_gamma 90.00
loop_
_atom_site_label
_atom_site_type_symbol
_atom_site_fract_x
_atom_site_fract_y
_atom_site_fract_z
_atom_site_occupancy
Re1 Re 0.0000 0.5000 0.0000 1
Sb1 Sb 0.0000 0.0000 0.0000 1
Pd1 Pd 0.5000 0.5000 0.5000 1
Se1 Se 0.0000 0.0000 0.5000 1
# Raw formation energy = 2363 meV/atom


# ReSbTe2Pd | Alexandria | PBE-GGA | optimized geometry
data_ReSbTe2Pd
_chemical_formula_sum 'Re1 Sb1 Te2 Pd1'
_symmetry_space_group_name_H-M 'P 4/m m m'
_symmetry_Int_Tables_number 123
_symmetry_space_group_name_Hall '-P 4 2'
_cell_length_a 5.2673
_cell_length_b 5.2673
_cell_length_c 5.0872
_cell_angle_alpha 90.00
_cell_angle_beta 90.00
_cell_angle_gamma 90.00
loop_
_atom_site_label
_atom_site_type_symbol
_atom_site_fract_x
_atom_site_fract_y
_atom_site_fract_z
_atom_site_occupancy
Re1 Re 0.0000 0.0000 0.0000 1
Sb1 Sb 0.5000 0.5000 0.0000 1
Te1 Te 0.0000 0.5000 0.5000 1
Pd1 Pd 0.5000 0.5000 0.5000 1
# Distance to the lowest polymorph of the same formula = 1.89 eV per formula unit
# Raw formation energy = 1294 meV/atom


# ReSbTe2Pd | Alexandria | PBE-GGA | optimized geometry
data_ReSbTe2Pd
_chemical_formula_sum 'Re1 Sb1 Te2 Pd1'
_symmetry_space_group_name_H-M 'P 4/m m m'
_symmetry_Int_Tables_number 123
_symmetry_space_group_name_Hall '-P 4 2'
_cell_length_a 5.2182
_cell_length_b 5.2182
_cell_length_c 5.1442
_cell_angle_alpha 90.00
_cell_angle_beta 90.00
_cell_angle_gamma 90.00
loop_
_atom_site_label
_atom_site_type_symbol
_atom_site_fract_x
_atom_site_fract_y
_atom_site_fract_z
_atom_site_occupancy
Re1 Re 0.0000 0.0000 0.0000 1
Sb1 Sb 0.0000 0.0000 0.5000 1
Te1 Te 0.0000 0.5000 0.0000 1
Pd1 Pd 0.5000 0.5000 0.5000 1
# Distance to the lowest polymorph of the same formula = 0.00 eV per formula unit
# Raw formation energy = 915 meV/atom


# Sc2RePd | Alexandria | PBE-GGA | optimized geometry
data_Sc2RePd
_chemical_formula_sum 'Sc2 Re1 Pd1'
_symmetry_space_group_name_H-M 'P 4/m m m'
_symmetry_Int_Tables_number 123
_symmetry_space_group_name_Hall '-P 4 2'
_cell_length_a 3.2914
_cell_length_b 3.2914
_cell_length_c 6.5023
_cell_angle_alpha 90.00
_cell_angle_beta 90.00
_cell_angle_gamma 90.00
loop_
_atom_site_label
_atom_site_type_symbol
_atom_site_fract_x
_atom_site_fract_y
_atom_site_fract_z
_atom_site_occupancy
Sc1 Sc 0.0000 0.0000 0.2407 1
Re1 Re 0.5000 0.5000 0.0000 1
Pd1 Pd 0.5000 0.5000 0.5000 1
# Energy of formation = -0.47 eV/atom


# Sc2RePd | Alexandria | PBE-GGA | optimized geometry
data_Sc2RePd
_chemical_formula_sum 'Sc6 Re3 Pd3'
_symmetry_space_group_name_H-M 'R -3 m'
_symmetry_Int_Tables_number 166
_symmetry_space_group_name_Hall '-R 3 2"'
_cell_length_a 3.0904
_cell_length_b 3.0904
_cell_length_c 27.5358
_cell_angle_alpha 90.00
_cell_angle_beta 90.00
_cell_angle_gamma 120.00
loop_
_atom_site_label
_atom_site_type_symbol
_atom_site_fract_x
_atom_site_fract_y
_atom_site_fract_z
_atom_site_occupancy
Sc1 Sc 0.0000 0.0000 0.0922 1
Re1 Re 0.0000 0.0000 0.5000 1
Pd1 Pd 0.0000 0.0000 0.0000 1
# Energy of formation = 0.03 eV/atom


# ScRe3Pd | Alexandria | PBE-GGA | optimized geometry
data_ScRe3Pd
_chemical_formula_sum 'Sc1 Re3 Pd1'
_symmetry_space_group_name_H-M 'P m -3 m'
_symmetry_Int_Tables_number 221
_symmetry_space_group_name_Hall '-P 4 2 3'
_cell_length_a 4.7106
_cell_length_b 4.7106
_cell_length_c 4.7106
_cell_angle_alpha 90.00
_cell_angle_beta 90.00
_cell_angle_gamma 90.00
loop_
_atom_site_label
_atom_site_type_symbol
_atom_site_fract_x
_atom_site_fract_y
_atom_site_fract_z
_atom_site_occupancy
Sc1 Sc 0.0000 0.0000 0.0000 1
Re1 Re 0.0000 0.5000 0.5000 1
Pd1 Pd 0.5000 0.5000 0.5000 1
# Distance to the lowest polymorph of the same formula = 0.00 eV per formula unit
# Energy of formation = 2.07 eV/atom


# Sc2RePd | Alexandria | PBE-GGA | optimized geometry
data_Sc2RePd
_chemical_formula_sum 'Sc8 Re4 Pd4'
_symmetry_space_group_name_H-M 'I -4 2 d'
_symmetry_Int_Tables_number 122
_symmetry_space_group_name_Hall 'I -4 2bw'
_cell_length_a 4.1429
_cell_length_b 4.1429
_cell_length_c 18.0044
_cell_angle_alpha 90.00
_cell_angle_beta 90.00
_cell_angle_gamma 90.00
loop_
_atom_site_label
_atom_site_type_symbol
_atom_site_fract_x
_atom_site_fract_y
_atom_site_fract_z
_atom_site_occupancy
Sc1 Sc 0.2451 0.2500 0.1250 1
Re1 Re 0.0000 0.0000 0.0000 1
Pd1 Pd 0.0000 0.0000 0.5000 1
# Energy of formation = 0.42 eV/atom


# ScRe3Pd | Alexandria | PBE-GGA | optimized geometry
data_ScRe3Pd
_chemical_formula_sum 'Sc1 Re3 Pd1'
_symmetry_space_group_name_H-M 'P m -3 m'
_symmetry_Int_Tables_number 221
_symmetry_space_group_name_Hall '-P 4 2 3'
_cell_length_a 4.5477
_cell_length_b 4.5477
_cell_length_c 4.5477
_cell_angle_alpha 90.00
_cell_angle_beta 90.00
_cell_angle_gamma 90.00
loop_
_atom_site_label
_atom_site_type_symbol
_atom_site_fract_x
_atom_site_fract_y
_atom_site_fract_z
_atom_site_occupancy
Sc1 Sc 0.0000 0.0000 0.0000 1
Re1 Re 0.0000 0.0000 0.5000 1
Pd1 Pd 0.5000 0.5000 0.5000 1
# Distance to the lowest polymorph of the same formula = 1.57 eV per formula unit
# Energy of formation = 2.38 eV/atom


# ScRe2Pd | Alexandria | PBE-GGA | optimized geometry
data_ScRe2Pd
_chemical_formula_sum 'Sc4 Re8 Pd4'
_symmetry_space_group_name_H-M 'F m -3 m'
_symmetry_Int_Tables_number 225
_symmetry_space_group_name_Hall '-F 4 2 3'
_cell_length_a 6.3564
_cell_length_b 6.3564
_cell_length_c 6.3564
_cell_angle_alpha 90.00
_cell_angle_beta 90.00
_cell_angle_gamma 90.00
loop_
_atom_site_label
_atom_site_type_symbol
_atom_site_fract_x
_atom_site_fract_y
_atom_site_fract_z
_atom_site_occupancy
Sc1 Sc 0.0000 0.0000 0.0000 1
Re1 Re 0.2500 0.2500 0.2500 1
Pd1 Pd 0.0000 0.0000 0.5000 1
# Distance to the lowest polymorph of the same formula = 0.00 eV per formula unit
# Energy of formation = 0.49 eV/atom


# ScRe2Pd | Alexandria | PBE-GGA | optimized geometry
data_ScRe2Pd
_chemical_formula_sum 'Sc4 Re8 Pd4'
_symmetry_space_group_name_H-M 'I -4 2 d'
_symmetry_Int_Tables_number 122
_symmetry_space_group_name_Hall 'I -4 2bw'
_cell_length_a 7.6215
_cell_length_b 7.6215
_cell_length_c 4.9795
_cell_angle_alpha 90.00
_cell_angle_beta 90.00
_cell_angle_gamma 90.00
loop_
_atom_site_label
_atom_site_type_symbol
_atom_site_fract_x
_atom_site_fract_y
_atom_site_fract_z
_atom_site_occupancy
Sc1 Sc 0.0000 0.0000 0.0000 1
Re1 Re 0.2170 0.2500 0.6250 1
Pd1 Pd 0.0000 0.0000 0.5000 1
# Distance to the lowest polymorph of the same formula = 0.50 eV per formula unit
# Energy of formation = 0.61 eV/atom


# Sc2ReSiPd | Alexandria | PBE-GGA | optimized geometry
data_Sc2ReSiPd
_chemical_formula_sum 'Sc2 Re1 Si1 Pd1'
_symmetry_space_group_name_H-M 'P 4/m m m'
_symmetry_Int_Tables_number 123
_symmetry_space_group_name_Hall '-P 4 2'
_cell_length_a 4.9019
_cell_length_b 4.9019
_cell_length_c 4.3954
_cell_angle_alpha 90.00
_cell_angle_beta 90.00
_cell_angle_gamma 90.00
loop_
_atom_site_label
_atom_site_type_symbol
_atom_site_fract_x
_atom_site_fract_y
_atom_site_fract_z
_atom_site_occupancy
Sc1 Sc 0.0000 0.5000 0.0000 1
Re1 Re 0.0000 0.0000 0.5000 1
Si1 Si 0.0000 0.0000 0.0000 1
Pd1 Pd 0.5000 0.5000 0.5000 1
# Raw formation energy = 339 meV/atom


# ThScRePd | Alexandria | PBE-GGA | optimized geometry
data_ThScRePd
_chemical_formula_sum 'Th4 Sc4 Re4 Pd4'
_symmetry_space_group_name_H-M 'F -4 3 m'
_symmetry_Int_Tables_number 216
_symmetry_space_group_name_Hall 'F -4 2 3'
_cell_length_a 6.8956
_cell_length_b 6.8956
_cell_length_c 6.8956
_cell_angle_alpha 90.00
_cell_angle_beta 90.00
_cell_angle_gamma 90.00
loop_
_atom_site_label
_atom_site_type_symbol
_atom_site_fract_x
_atom_site_fract_y
_atom_site_fract_z
_atom_site_occupancy
Th1 Th 0.0000 0.0000 0.0000 1
Sc1 Sc 0.0000 0.0000 0.5000 1
Re1 Re 0.2500 0.2500 0.2500 1
Pd1 Pd 0.2500 0.2500 0.7500 1
# Energy of formation = -0.36 eV/atom